# 1
# TiIr2OsAu | Alexandria | GGA-PBE | optimized geometry
# D(E_F) in states/eV/f.u.: 8.0
# ΔH_f (0 K) in eV per atom: 2.212
# VASP energy in Ry per atom: -0.42725
data_TiIr2OsAu
_symmetry_space_group_name_H-M 'P 1'
_symmetry_Int_Tables_number 1
_symmetry_space_group_name_Hall 'P 1'
_cell_length_a 4.817
_cell_length_b 4.817
_cell_length_c 4.566
_cell_angle_alpha 90.00
_cell_angle_beta 90.00
_cell_angle_gamma 90.00
loop_
_atom_site_label
_atom_site_fract_x
_atom_site_fract_y
_atom_site_fract_z
Ti1 0.000 0.000 0.000
Ir1 0.000 0.500 0.500
Ir2 0.500 0.000 0.500
Os1 0.500 0.500 0.000
Au1 0.000 0.000 0.500

=====

# 2
# TlIr2OsAu | Alexandria | GGA-PBE | optimized geometry
# D(E_F) in states/eV/f.u.: 6.0
# ΔH_f (0 K) in eV per atom: 2.727
# VASP energy in Ry per atom: -0.30812
data_TlIr2OsAu
_symmetry_space_group_name_H-M 'P 1'
_symmetry_Int_Tables_number 1
_symmetry_space_group_name_Hall 'P 1'
_cell_length_a 4.950
_cell_length_b 4.950
_cell_length_c 4.950
_cell_angle_alpha 90.00
_cell_angle_beta 90.00
_cell_angle_gamma 90.00
loop_
_atom_site_label
_atom_site_fract_x
_atom_site_fract_y
_atom_site_fract_z
Tl1 0.000 0.000 0.000
Ir1 0.000 0.500 0.000
Ir2 0.500 0.000 0.000
Os1 0.500 0.500 0.500
Au1 0.000 0.000 0.500

=====

# 3
# PIr2Au | Alexandria | GGA-PBE | optimized geometry
# D(E_F) in states/eV/f.u.: 3.7
# ΔH_f (0 K) in eV per atom: -0.007
# VASP energy in Ry per atom: -0.48578
data_PIr2Au
_symmetry_space_group_name_H-M 'P 1'
_symmetry_Int_Tables_number 1
_symmetry_space_group_name_Hall 'P 1'
_cell_length_a 3.684
_cell_length_b 3.684
_cell_length_c 5.964
_cell_angle_alpha 108.05
_cell_angle_beta 108.05
_cell_angle_gamma 60.06
loop_
_atom_site_label
_atom_site_fract_x
_atom_site_fract_y
_atom_site_fract_z
P1 0.000 0.000 0.000
Ir1 0.275 0.275 0.826
Ir2 0.725 0.725 0.174
Au1 0.500 0.500 0.500

=====

# 4
# PIr2Au | Alexandria | GGA-PBE | optimized geometry
# D(E_F) in states/eV/f.u.: 2.6
# ΔH_f (0 K) in eV per atom: 0.231
# VASP energy in Ry per atom: -0.46826
data_PIr2Au
_symmetry_space_group_name_H-M 'P 1'
_symmetry_Int_Tables_number 1
_symmetry_space_group_name_Hall 'P 1'
_cell_length_a 2.879
_cell_length_b 4.437
_cell_length_c 5.240
_cell_angle_alpha 90.00
_cell_angle_beta 105.84
_cell_angle_gamma 90.00
loop_
_atom_site_label
_atom_site_fract_x
_atom_site_fract_y
_atom_site_fract_z
P1 0.000 0.000 0.000
Ir1 0.316 0.000 0.630
Ir2 0.929 0.500 0.858
Au1 0.663 0.500 0.331

=====

# 5
# PIr2Au | Alexandria | GGA-PBE | optimized geometry
# D(E_F) in states/eV/f.u.: 3.0
# ΔH_f (0 K) in eV per atom: 0.103
# VASP energy in Ry per atom: -0.47770
data_PIr2Au
_symmetry_space_group_name_H-M 'P 1'
_symmetry_Int_Tables_number 1
_symmetry_space_group_name_Hall 'P 1'
_cell_length_a 3.651
_cell_length_b 3.590
_cell_length_c 5.195
_cell_angle_alpha 90.00
_cell_angle_beta 109.80
_cell_angle_gamma 90.00
loop_
_atom_site_label
_atom_site_fract_x
_atom_site_fract_y
_atom_site_fract_z
P1 0.000 0.000 0.000
Ir1 0.136 0.500 0.779
Ir2 0.864 0.500 0.221
Au1 0.500 0.000 0.500

=====

# 6
# PIr2Au | Alexandria | GGA-PBE | optimized geometry
# D(E_F) in states/eV/f.u.: 3.5
# ΔH_f (0 K) in eV per atom: 0.353
# VASP energy in Ry per atom: -0.45932
data_PIr2Au
_symmetry_space_group_name_H-M 'P 1'
_symmetry_Int_Tables_number 1
_symmetry_space_group_name_Hall 'P 1'
_cell_length_a 2.788
_cell_length_b 2.788
_cell_length_c 9.568
_cell_angle_alpha 90.00
_cell_angle_beta 90.00
_cell_angle_gamma 120.98
loop_
_atom_site_label
_atom_site_fract_x
_atom_site_fract_y
_atom_site_fract_z
P1 0.000 0.000 0.000
Ir1 0.000 0.000 0.547
Ir2 0.500 0.500 0.791
Au1 0.500 0.500 0.286